A plane-wave DFT calculation with GGA-PBEsol was carried out for an optimized crystal structure of Na2NbPt.

Calculated values
The calculation puts the offset from the most stable computed form at 141.4 meV/atom. The density of states at the Fermi level comes out at 1.299 states/eV per atom. The calculation puts the total magnetization at 13.2 μB/cell. The calculation puts the total energy at -4.149 eV per atom.

The structure in CIF format:
```
data_Na2NbPt
_chemical_formula_sum 'Na8 Nb4 Pt4'
_symmetry_space_group_name_H-M 'F m -3 m'
_symmetry_Int_Tables_number 225
_symmetry_space_group_name_Hall '-F 4 2 3'
_cell_length_a 6.716
_cell_length_b 6.716
_cell_length_c 6.716
_cell_angle_alpha 90.00
_cell_angle_beta 90.00
_cell_angle_gamma 90.00
loop_
_atom_site_label
_atom_site_type_symbol
_atom_site_fract_x
_atom_site_fract_y
_atom_site_fract_z
Na1 Na 0.250 0.250 0.250
Nb1 Nb 0.000 0.000 0.000
Pt1 Pt 0.000 0.000 0.500
```